Model P:
Material: DyThBiSb
Method: DFT, PBE
State: relaxed

Unit cell a=4.4961 b=4.4961 c=21.9351 alpha=90.00 beta=90.00 gamma=120.00
With the nearest neighbours (Å) after each atom.
Space group R3m (No. 160, hexagonal axes)
One atom of each set of equivalent atoms:
Dy  0.0000  0.0000  0.0000 (multiplicity 3)  3 Sb 3.10, 3 Bi 3.17
Th  0.0000  0.0000  0.5057 (multiplicity 3)  3 Sb 3.18, 3 Bi 3.25
Bi  0.0000  0.0000  0.7499 (multiplicity 3)  3 Dy 3.17, 3 Th 3.25
Sb  0.0000  0.0000  0.2562 (multiplicity 3)  3 Dy 3.10, 3 Th 3.18

Total magnetization, μB/f.u.: 0.00
Calculated volume, Å³/f.u.: 128.00

=====

Model Q:
Material: DyThBiSb
Method: DFT, PBE
State: relaxed

Unit cell a=7.7435 b=7.7435 c=7.7435 alpha=90.00 beta=90.00 gamma=90.00
With the nearest neighbours (Å) after each atom.
Space group F-43m (No. 216)
One atom of each set of equivalent atoms:
Dy  0.0000  0.0000  0.0000 (multiplicity 4)  4 Sb 3.35, 4 Bi 3.35
Th  0.0000  0.0000  0.5000 (multiplicity 4)  4 Bi 3.35, 4 Sb 3.35
Bi  0.2500  0.2500  0.7500 (multiplicity 4)  4 Th 3.35, 4 Dy 3.35
Sb  0.2500  0.2500  0.2500 (multiplicity 4)  4 Th 3.35, 4 Dy 3.35

Total magnetization, μB/f.u.: 0.00
Calculated volume, Å³/f.u.: 116.08

=====

In meV/atom, relative to the most stable structure: model P 0; model Q 206.